Entry 1:
## FeAg2Rh (GGA-PBE)

Data for a geometry-optimized FeAg2Rh structure.

The structure in POSCAR format:
```
FeAg2Rh
1.0
4.6097 0.0000 0.0000
0.0000 2.8933 0.0000
-1.2995 0.0000 4.6834
Fe Ag Rh
1 2 1
direct
0.0000 0.0000 0.0000 Fe
0.0000 0.5000 0.5000 Ag
0.5000 0.0000 0.5000 Ag
0.5000 0.5000 0.0000 Rh
```

Output
space-group type	No. 10
crystal system	monoclinic
energy relative to the elements	0.2745	eV/atom
DFT total energy	-20.419	eV/cell
D(E_F)	3.78	states/eV/cell
size of the total moment	3.8	μB/f.u.

=====

Entry 2:
## FeAgRh2 (GGA-PBE)

Data for a geometry-optimized FeAgRh2 structure.

The structure in POSCAR format:
```
FeAgRh2
1.0
-3.4828 3.4828 2.6374
3.4828 -3.4828 2.6374
3.4828 3.4828 -2.6374
Fe Ag Rh
2 2 4
direct
0.0000 0.0000 0.0000 Fe
0.7500 0.2500 0.5000 Fe
0.2500 0.7500 0.5000 Ag
0.5000 0.5000 0.0000 Ag
0.0806 0.6250 0.9556 Rh
0.3750 0.3306 0.4556 Rh
0.6694 0.1250 0.0444 Rh
0.8750 0.9194 0.5444 Rh
```

Output
space-group type	No. 122
crystal system	tetragonal
energy relative to the elements	0.4882	eV/atom
DFT total energy	-48.128	eV/cell
D(E_F)	7.64	states/eV/cell
size of the total moment	3.2	μB/f.u.

=====

Entry 3:
## FeAgRh2 (GGA-PBE)

Data for a geometry-optimized FeAgRh2 structure.

The structure in POSCAR format:
```
FeAgRh2
1.0
2.9425 0.0000 0.0000
0.0000 2.9425 0.0000
0.0000 0.0000 6.9001
Fe Ag Rh
1 1 2
direct
0.0000 0.0000 0.0000 Fe
0.0000 0.0000 0.5000 Ag
0.5000 0.5000 0.2150 Rh
0.5000 0.5000 0.7850 Rh
```

Output
space-group type	No. 123
crystal system	tetragonal
energy relative to the elements	0.1131	eV/atom
DFT total energy	-25.565	eV/cell
D(E_F)	5.30	states/eV/cell
size of the total moment	4.7	μB/f.u.

=====

Entry 4:
## FeAg2Rh (GGA-PBE)

Data for a geometry-optimized FeAg2Rh structure.

The structure in POSCAR format:
```
FeAg2Rh
1.0
2.6949 -4.1557 0.0000
2.6949 4.1557 0.0000
0.0000 0.0000 2.7859
Fe Ag Rh
1 2 1
direct
0.0000 0.0000 0.0000 Fe
0.0000 0.5000 0.5000 Ag
0.5000 0.0000 0.5000 Ag
0.5000 0.5000 0.0000 Rh
```

Output
space-group type	No. 65
crystal system	orthorhombic
energy relative to the elements	0.3377	eV/atom
DFT total energy	-20.166	eV/cell
D(E_F)	3.76	states/eV/cell
size of the total moment	3.6	μB/f.u.